1.
This record from Alexandria via LeMat-Bulk describes a relaxed HfSi2Tc2 crystal. The functional is PBE-GGA.

Values from the calculation:
Spin magnetization: 0.00 μB per formula unit
Density of states at the Fermi level: 4.3 states/eV per cell

Unit cell a=4.2106 b=4.2106 c=5.5563 alpha=67.73 beta=67.73 gamma=90.00
Atoms (fractional coordinates):
Si 0.7500 0.2500 0.5000
Si 0.2500 0.7500 0.5000
Hf 0.0000 0.0000 0.0000
Tc 0.3780 0.3780 0.2439
Tc 0.6220 0.6220 0.7561

2.
This record from Alexandria via LeMat-Bulk describes a relaxed Hf2SiTc2 crystal. The functional is PBE-GGA.

Values from the calculation:
Spin magnetization: 0.00 μB per formula unit
Density of states at the Fermi level: 9.5 states/eV per cell

Unit cell a=6.3864 b=6.3864 c=4.3054 alpha=90.00 beta=90.00 gamma=90.00
Atoms (fractional coordinates):
Si 0.0000 0.0000 0.0000
Si 0.5000 0.5000 0.0000
Hf 0.1779 0.6779 0.5000
Hf 0.6779 0.8221 0.5000
Hf 0.8221 0.3221 0.5000
Hf 0.3221 0.1779 0.5000
Tc 0.3573 0.8573 0.0000
Tc 0.8573 0.6427 0.0000
Tc 0.6427 0.1427 0.0000
Tc 0.1427 0.3573 0.0000

3.
This record from Alexandria via LeMat-Bulk describes a relaxed Hf2Si2Tc crystal. The functional is PBE-GGA.

Values from the calculation:
Spin magnetization: 0.00 μB per formula unit
Density of states at the Fermi level: 2.4 states/eV per cell

Unit cell a=3.9482 b=5.1989 c=5.1989 alpha=60.36 beta=67.68 gamma=67.68
Atoms (fractional coordinates):
Hf 0.7931 0.7069 0.7069
Hf 0.2069 0.2931 0.2931
Si 0.5000 0.7271 0.2729
Si 0.5000 0.2729 0.7271
Tc 0.0000 0.0000 0.0000

4.
This record from Alexandria via LeMat-Bulk describes a relaxed Hf2SiTc crystal. The functional is PBE-GGA.

Values from the calculation:
Spin magnetization: 0.00 μB per formula unit
Density of states at the Fermi level: 7.3 states/eV per cell

Unit cell a=7.3031 b=7.3031 c=5.8828 alpha=51.63 beta=51.63 gamma=90.00
Atoms (fractional coordinates):
Si 0.5000 0.5000 0.0000
Si 0.2500 0.7500 0.5000
Hf 0.6387 0.1250 0.2500
Hf 0.1113 0.6250 0.2500
Hf 0.3750 0.3613 0.7500
Hf 0.8750 0.8887 0.7500
Tc 0.0000 0.0000 0.0000
Tc 0.7500 0.2500 0.5000

5.
This record from Alexandria via LeMat-Bulk describes a relaxed HfSiTc2 crystal. The functional is PBE-GGA.

Values from the calculation:
Spin magnetization: 0.00 μB per formula unit
Density of states at the Fermi level: 4.3 states/eV per cell

Unit cell a=3.1776 b=3.1776 c=6.0980 alpha=90.00 beta=90.00 gamma=90.00
Atoms (fractional coordinates):
Si 0.5000 0.5000 0.0000
Hf 0.5000 0.5000 0.5000
Tc 0.0000 0.0000 0.7777
Tc 0.0000 0.0000 0.2223

6.
This record from Alexandria via LeMat-Bulk describes a relaxed HfSi2Tc5 crystal. The functional is PBE-GGA.

Values from the calculation:
Spin magnetization: 0.00 μB per formula unit
Density of states at the Fermi level: 8.1 states/eV per cell

Unit cell a=3.0156 b=6.6466 c=6.6466 alpha=70.20 beta=76.89 gamma=76.89
Atoms (fractional coordinates):
Hf 0.0000 0.0000 0.0000
Si 0.2528 0.2471 0.2471
Si 0.7472 0.7529 0.7529
Tc 0.0000 0.5000 0.5000
Tc 0.3617 0.4203 0.8563
Tc 0.6383 0.5797 0.1437
Tc 0.6383 0.1437 0.5797
Tc 0.3617 0.8563 0.4203

7.
This record from Alexandria via LeMat-Bulk describes a relaxed Hf2Si3Tc crystal. The functional is PBE-GGA.

Values from the calculation:
Spin magnetization: 0.30 μB per formula unit
Density of states at the Fermi level: 5.8 states/eV per cell

Unit cell a=3.9540 b=5.2430 c=6.0404 alpha=115.72 beta=109.10 gamma=90.00
Atoms (fractional coordinates):
Hf 0.6757 0.1757 0.3513
Hf 0.3243 0.8243 0.6487
Si 0.3555 0.3555 0.7109
Si 0.0000 0.0000 0.0000
Si 0.6445 0.6445 0.2891
Tc 0.0000 0.5000 0.0000

8.
This record from Alexandria via LeMat-Bulk describes a relaxed Hf6SiTc5 crystal. The functional is PBE-GGA.

Values from the calculation:
Spin magnetization: 0.00 μB per formula unit
Density of states at the Fermi level: 9.0 states/eV per cell

Unit cell a=4.5810 b=6.5905 c=7.9906 alpha=114.36 beta=106.63 gamma=90.00
Atoms (fractional coordinates):
Si 0.0000 0.0000 0.0000
Hf 0.8310 0.5769 0.6617
Hf 0.8309 0.0848 0.6617
Hf 0.5000 0.7405 0.0000
Hf 0.5000 0.2595 0.0000
Hf 0.1691 0.9152 0.3383
Hf 0.1690 0.4231 0.3383
Tc 0.6609 0.1610 0.3219
Tc 0.3322 0.3321 0.6643
Tc 0.0000 0.5000 0.0000
Tc 0.6678 0.6679 0.3357
Tc 0.3391 0.8390 0.6781

9.
This record from Alexandria via LeMat-Bulk describes a relaxed HfSiTc2 crystal. The functional is PBE-GGA.

Values from the calculation:
Spin magnetization: 0.00 μB per formula unit
Density of states at the Fermi level: 2.5 states/eV per cell

Unit cell a=5.9420 b=5.9420 c=5.9420 alpha=51.13 beta=149.49 gamma=140.00
Atoms (fractional coordinates):
Hf 0.0000 0.5000 0.5000
Si 0.0000 0.0000 0.0000
Tc 0.0000 0.2114 0.2114
Tc 0.0000 0.7886 0.7886

10.
This record from Alexandria via LeMat-Bulk describes a relaxed HfTlSi2Tc crystal. The functional is PBE-GGA.

Values from the calculation:
Spin magnetization: 3.07 μB per formula unit
Density of states at the Fermi level: 4.3 states/eV per cell

Unit cell a=4.9392 b=5.4427 c=4.9392 alpha=90.00 beta=90.00 gamma=90.00
Atoms (fractional coordinates):
Si 0.0000 0.0000 0.5000
Si 0.5000 0.0000 0.0000
Tl 0.0000 0.0000 0.0000
Hf 0.0000 0.5000 0.0000
Tc 0.5000 0.5000 0.5000

11.
This record from Alexandria via LeMat-Bulk describes a relaxed HfZnSiTc2 crystal. The functional is PBE-GGA.

Values from the calculation:
Spin magnetization: 0.05 μB per formula unit
Density of states at the Fermi level: 3.9 states/eV per cell

Unit cell a=4.6410 b=4.0869 c=4.6410 alpha=90.00 beta=90.00 gamma=90.00
Atoms (fractional coordinates):
Si 0.0000 0.5000 0.0000
Zn 0.0000 0.0000 0.0000
Hf 0.5000 0.5000 0.5000
Tc 0.0000 0.0000 0.5000
Tc 0.5000 0.0000 0.0000

12.
This record from Alexandria via LeMat-Bulk describes a relaxed HfZr2SiTc crystal. The functional is PBE-GGA.

Values from the calculation:
Spin magnetization: 0.00 μB per formula unit
Density of states at the Fermi level: 7.6 states/eV per cell

Unit cell a=4.9522 b=4.9385 c=4.9522 alpha=90.00 beta=90.00 gamma=90.00
Atoms (fractional coordinates):
Si 0.5000 0.5000 0.5000
Hf 0.0000 0.5000 0.0000
Tc 0.0000 0.0000 0.0000
Zr 0.0000 0.0000 0.5000
Zr 0.5000 0.0000 0.0000

13.
This record from Alexandria via LeMat-Bulk describes a relaxed Hf2SiTe crystal. The functional is PBE-GGA.

Values from the calculation:
Spin magnetization: 0.00 μB per formula unit
Density of states at the Fermi level: 2.0 states/eV per cell

Unit cell a=3.9241 b=3.9241 c=7.0169 alpha=73.76 beta=73.76 gamma=60.00
Atoms (fractional coordinates):
Si 0.0000 0.0000 0.0000
Te 0.5000 0.5000 0.5000
Hf 0.2678 0.2678 0.1965
Hf 0.7322 0.7322 0.8035

14.
This record from Alexandria via LeMat-Bulk describes a relaxed HfSiTe2 crystal. The functional is PBE-GGA.

Values from the calculation:
Spin magnetization: 0.00 μB per formula unit
Density of states at the Fermi level: 2.3 states/eV per cell

Unit cell a=9.7195 b=9.7195 c=9.7195 alpha=22.39 beta=22.39 gamma=22.39
Atoms (fractional coordinates):
Si 0.0000 0.0000 0.0000
Te 0.8989 0.8989 0.8989
Te 0.1011 0.1011 0.1011
Hf 0.5000 0.5000 0.5000

In the order shown, the computed energy relative to the elements, uncorrected values come out to -0.16, -0.34, -0.79, 0.20, -0.44, -0.29, -0.26, -0.52, 0.12, 2.04, 0.92, 0.57, -0.61, -0.04 eV/atom.